# 1
The following is a DFT calculation (PBE-GGA) of crystalline Li2Cu2Ni at its relaxed geometry.

a b c (Å): 6.064 6.064 3.726
angles (deg): 90.00 90.00 90.00
Fractional positions:
Li  0.172  0.328  0.000
Li  0.328  0.828  0.000
Li  0.672  0.172  0.000
Li  0.828  0.672  0.000
Cu  0.137  0.637  0.500
Cu  0.363  0.137  0.500
Cu  0.637  0.863  0.500
Cu  0.863  0.363  0.500
Ni  0.000  0.000  0.500
Ni  0.500  0.500  0.500

Summary:
calculated total energy = -3.4338 eV per atom
density = 4.840 g/cm3
M_tot = 0.000 μB/cell
excess energy over the best structure of this formula in the dataset = 153 meV/atom

---

# 2
The following is a DFT calculation (PBE-GGA) of crystalline Li5CuNi6 at its relaxed geometry.

a b c (Å): 5.656 5.656 4.321
angles (deg): 97.49 97.49 82.82
Fractional positions:
Li  0.000  0.000  0.000
Li  0.170  0.830  0.500
Li  0.337  0.663  0.000
Li  0.663  0.337  0.000
Li  0.830  0.170  0.500
Cu  0.500  0.500  0.500
Ni  0.089  0.420  0.249
Ni  0.252  0.252  0.746
Ni  0.420  0.089  0.249
Ni  0.580  0.911  0.751
Ni  0.748  0.748  0.254
Ni  0.911  0.580  0.751

Summary:
calculated total energy = -4.0737 eV per atom
density = 5.539 g/cm3
M_tot = 0.000 μB/cell

---

# 3
The following is a DFT calculation (PBE-GGA) of crystalline Li4CuNi at its relaxed geometry.

a b c (Å): 4.937 4.937 4.245
angles (deg): 114.56 114.56 98.49
Fractional positions:
Li  0.082  0.414  0.248
Li  0.414  0.082  0.248
Li  0.586  0.918  0.752
Li  0.918  0.586  0.752
Cu  0.500  0.500  0.000
Ni  0.000  0.000  0.500

Summary:
calculated total energy = -2.9054 eV per atom
density = 3.156 g/cm3
M_tot = 0.000 μB/cell
excess energy over the best structure of this formula in the dataset = 0 meV/atom

---

# 4
The following is a DFT calculation (PBE-GGA) of crystalline Li4CuNi at its relaxed geometry.

a b c (Å): 4.771 4.771 4.771
angles (deg): 60.00 60.00 60.00
Fractional positions:
Li  0.125  0.125  0.125
Li  0.125  0.125  0.626
Li  0.125  0.626  0.125
Li  0.626  0.125  0.125
Cu  0.500  0.500  0.500
Ni  0.750  0.750  0.750

Summary:
calculated total energy = -2.6897 eV per atom
density = 3.243 g/cm3
M_tot = 0.000 μB/cell
excess energy over the best structure of this formula in the dataset = 216 meV/atom

---

Which formula does entry 2 have?
Li5CuNi6